VASP calculation (GGA-PBE) on a relaxed TbSc5In4 crystal.

Cell: 3.357 3.357 20.982 Å, 90.00 90.00 90.00°
Site moments in Bohr magnetons follow the coordinates.
Fractional positions:
Tb (0.000, 0.000, 0.000)  0.00
Sc (0.500, 0.500, 0.115)  -0.03
Sc (0.500, 0.500, 0.307)  0.16
Sc (0.500, 0.500, 0.500)  -0.19
Sc (0.500, 0.500, 0.693)  0.16
Sc (0.500, 0.500, 0.885)  -0.03
In (0.000, 0.000, 0.210)  0.00
In (0.000, 0.000, 0.403)  0.00
In (0.000, 0.000, 0.597)  0.00
In (0.000, 0.000, 0.790)  0.00

Calculated values
* offset from the most stable computed form: 0.000 eV per atom
* symmetry: No. 123
* formation energy: -343 meV/atom
* volume: 23.64 Å³ per atom

***

VASP calculation (GGA-PBE) on a relaxed LiYHoLu crystal.

Cell: 5.424 5.424 5.424 Å, 60.00 60.00 60.00°
Fractional positions:
Y (0.750, 0.750, 0.750)
Lu (0.500, 0.500, 0.500)
Ho (0.250, 0.250, 0.250)
Li (0.000, 0.000, 0.000)

Calculated values
* symmetry: No. 216
* formation energy: 164 meV/atom
* volume: 28.20 Å³ per atom

***

VASP calculation (GGA-PBE) on a relaxed Tb2Pm2YTm4 crystal.

Cell: 3.580 9.464 9.519 Å, 115.27 90.00 100.90°
Fractional positions:
Tb (0.853, 0.706, 0.337)
Tb (0.147, 0.294, 0.663)
Pm (0.334, 0.668, 0.999)
Pm (0.666, 0.332, 0.001)
Y (0.000, 0.000, 0.000)
Tm (0.815, 0.629, 0.663)
Tm (0.185, 0.371, 0.337)
Tm (0.520, 0.039, 0.336)
Tm (0.480, 0.961, 0.664)

Calculated values
* symmetry: No. 12
* formation energy: -1 meV/atom
* volume: 31.69 Å³ per atom

***

VASP calculation (GGA-PBE) on a relaxed Th2AlGeRh6 crystal.

Cell: 5.666 7.913 7.913 Å, 41.96 69.03 90.00°
Fractional positions:
Th (0.285, 0.715, 0.429)
Th (0.715, 0.285, 0.571)
Al (0.000, 0.000, 0.000)
Ge (0.500, 0.500, 0.000)
Rh (0.249, 0.750, 0.995)
Rh (0.756, 0.750, 0.995)
Rh (0.249, 0.242, 0.502)
Rh (0.751, 0.250, 0.005)
Rh (0.244, 0.250, 0.005)
Rh (0.751, 0.758, 0.498)

Calculated values
* symmetry: No. 12
* formation energy: -613 meV/atom
* volume: 20.03 Å³ per atom

***

VASP calculation (GGA-PBE) on a relaxed ErCdIrAu crystal.

Cell: 4.804 4.804 4.804 Å, 60.00 60.00 60.00°
Fractional positions:
Cd (0.750, 0.750, 0.750)
Ir (0.500, 0.500, 0.500)
Au (0.000, 0.000, 0.000)
Er (0.250, 0.250, 0.250)

Calculated values
* symmetry: No. 216
* formation energy: -459 meV/atom
* volume: 19.60 Å³ per atom

***

VASP calculation (GGA-PBE) on a relaxed AsRu2Pb crystal.

Cell: 3.105 3.105 6.919 Å, 90.00 90.00 90.00°
Fractional positions:
Pb (0.500, 0.500, 0.750)
Ru (0.000, 0.000, 0.043)
Ru (0.000, 0.000, 0.457)
As (0.500, 0.500, 0.250)

Calculated values
* offset from the most stable computed form: 0.019 eV per atom
* symmetry: No. 123
* formation energy: 214 meV/atom
* volume: 16.67 Å³ per atom

***

VASP calculation (GGA-PBE) on a relaxed Li2DyTa3N6 crystal.

Cell: 5.383 5.383 5.667 Å, 98.95 98.95 120.07°
Fractional positions:
Li (0.334, 0.666, 0.000)
Li (0.666, 0.334, 0.000)
Dy (0.000, 0.000, 0.000)
Ta (0.171, 0.829, 0.500)
Ta (0.829, 0.171, 0.500)
Ta (0.500, 0.500, 0.500)
N (0.908, 0.572, 0.723)
N (0.759, 0.759, 0.281)
N (0.092, 0.428, 0.277)
N (0.572, 0.908, 0.723)
N (0.241, 0.241, 0.719)
N (0.428, 0.092, 0.277)

Calculated values
* symmetry: No. 12
* E_form (uncorrected): -1.20 eV per atom
* volume: 11.26 Å³ per atom

***

VASP calculation (GGA-PBE) on a relaxed Pm3Y2Er2 crystal.

Cell: 3.586 11.877 6.212 Å, 69.83 73.20 98.65°
Fractional positions:
Pm (0.000, 0.000, 0.000)
Pm (0.573, 0.430, 0.285)
Pm (0.427, 0.570, 0.715)
Y (0.858, 0.143, 0.427)
Y (0.142, 0.857, 0.573)
Er (0.713, 0.285, 0.858)
Er (0.287, 0.715, 0.142)

Calculated values
* symmetry: No. 12
* formation energy: 17 meV/atom
* volume: 32.62 Å³ per atom

***

VASP calculation (GGA-PBE) on a relaxed LiAlReOs crystal.

Cell: 4.262 4.262 4.262 Å, 60.00 60.00 60.00°
Fractional positions:
Re (0.500, 0.500, 0.500)
Os (0.250, 0.250, 0.250)
Al (0.750, 0.750, 0.750)
Li (0.000, 0.000, 0.000)

Calculated values
* offset from the most stable computed form: 0.064 eV per atom
* symmetry: No. 216
* formation energy: -154 meV/atom
* volume: 13.69 Å³ per atom

***

VASP calculation (GGA-PBE) on a relaxed ZnCo2Ru crystal.

Cell: 4.487 4.487 4.484 Å, 79.54 79.54 34.30°
Site moments in Bohr magnetons follow the coordinates.
Fractional positions:
Co (0.003, 0.003, 0.992)  1.42
Co (0.497, 0.497, 0.508)  1.42
Ru (0.750, 0.750, 0.750)  0.56
Zn (0.250, 0.250, 0.250)  -0.02

Calculated values
* symmetry: No. 12
* formation energy: 147 meV/atom
* volume: 12.49 Å³ per atom

***

VASP calculation (GGA-PBE) on a relaxed TbSm2ErSe4 crystal.

Cell: 4.060 7.249 7.098 Å, 71.26 90.00 90.00°
Fractional positions:
Tb (0.500, 0.500, 0.000)
Sm (0.000, 0.000, 0.000)
Sm (0.500, 0.000, 0.500)
Er (0.000, 0.500, 0.500)
Se (0.000, 0.741, 0.751)
Se (0.000, 0.259, 0.249)
Se (0.500, 0.739, 0.257)
Se (0.500, 0.261, 0.743)

Calculated values
* symmetry: No. 10
* E_form (uncorrected): -1.78 eV per atom
* volume: 24.73 Å³ per atom

***

VASP calculation (GGA-PBE) on a relaxed Nd3ErTh crystal.

Cell: 7.586 7.586 7.586 Å, 68.85 68.85 68.85°
Fractional positions:
Nd (0.259, 0.991, 0.472)
Nd (0.472, 0.259, 0.991)
Nd (0.991, 0.472, 0.259)
Nd (0.741, 0.009, 0.528)
Nd (0.009, 0.528, 0.741)
Nd (0.528, 0.741, 0.009)
Er (0.087, 0.087, 0.087)
Er (0.913, 0.913, 0.913)
Th (0.415, 0.415, 0.415)
Th (0.585, 0.585, 0.585)

Calculated values
* offset from the most stable computed form: 0.448 eV per atom
* symmetry: No. 148
* formation energy: 503 meV/atom
* volume: 36.61 Å³ per atom

***

| no. | VASP energy (eV per atom) | total magnetization (μB/atom) | DOS at the Fermi energy (states/eV/cell) |
| --- | --- | --- | --- |
| 1 | -5.07 | 0.010 | 7.00 |
| 2 | -4.21 | 0.000 | 3.34 |
| 3 | -4.79 | 0.000 | 12.57 |
| 4 | -7.34 | 0.000 | 8.04 |
| 5 | -4.86 | 0.000 | 2.49 |
| 6 | -6.51 | 0.000 | 2.24 |
| 7 | -9.03 | 0.000 | 2.38 |
| 8 | -5.17 | 0.000 | 8.88 |
| 9 | -7.49 | 0.000 | 1.78 |
| 10 | -6.04 | 0.834 | 5.59 |
| 11 | -5.85 | 0.000 | 4.36 |
| 12 | -4.75 | 0.000 | 15.31 |